1.
Material: Pa2Tc3B2
Method: DFT, PBE
State: optimized geometry

Cell lengths 3.213, 5.357, 7.077 Å; angles 114.11, 90.00, 107.45 degrees
Fractional positions:
1 B 0.149 0.297 0.236
2 Tc 0.500 0.000 0.000
3 B 0.851 0.703 0.764
4 Pa 0.140 0.280 0.804
5 Pa 0.860 0.720 0.196
6 Tc 0.635 0.270 0.449
7 Tc 0.365 0.730 0.551

Results
Formation energy ... -0.41 eV/atom
Space group ... C2/m (12)


2.
Material: PuIn4Cl6
Method: DFT, PBE
State: optimized geometry

Cell lengths 8.414, 8.414, 9.752 Å; angles 90.00, 90.00, 90.00 degrees
Last column: magnetic moment on the atom in μB.
Fractional positions:
1 In 0.349 0.151 0.250  0.02
2 Cl 0.651 0.204 0.000  -0.01
3 In 0.651 0.849 0.750  0.02
4 In 0.849 0.349 0.250  0.02
5 Pu 0.000 0.000 0.500  5.45
6 Cl 0.349 0.796 0.000  -0.01
7 In 0.849 0.349 0.750  0.02
8 Cl 0.151 0.296 0.500  -0.01
9 Cl 0.849 0.704 0.500  -0.01
10 In 0.651 0.849 0.250  0.02
11 In 0.349 0.151 0.750  0.02
12 Cl 0.000 0.000 0.215  -0.01
13 In 0.151 0.651 0.750  0.02
14 In 0.151 0.651 0.250  0.02
15 Cl 0.296 0.849 0.500  -0.01
16 Cl 0.796 0.651 0.000  -0.01
17 Cl 0.500 0.500 0.715  -0.01
18 Pu 0.500 0.500 0.000  5.45
19 Cl 0.000 0.000 0.785  -0.01
20 Cl 0.500 0.500 0.285  -0.01
21 Cl 0.204 0.349 0.000  -0.01
22 Cl 0.704 0.151 0.500  -0.01

Results
Formation energy from raw total energies ... -11.54 eV/f.u.
Space group ... P4/mnc (128)


3.
Material: SnHg2Pd6
Method: DFT, PBE
State: optimized geometry

Cell lengths 4.242, 4.904, 8.909 Å; angles 68.88, 76.23, 64.37 degrees
Fractional positions:
1 Pd 0.653 0.092 0.601
2 Hg 0.691 0.362 0.256
3 Hg 0.309 0.638 0.744
4 Sn 0.000 0.500 0.500
5 Pd 0.014 0.805 0.168
6 Pd 0.986 0.195 0.832
7 Pd 0.343 0.256 0.057
8 Pd 0.657 0.744 0.943
9 Pd 0.347 0.908 0.399

Results
Formation energy ... -0.22 eV/atom
Space group ... C2/m (12)


4.
Material: Ce2GaHg2
Method: DFT, PBE
State: optimized geometry

Cell lengths 4.810, 5.981, 10.020 Å; angles 98.48, 76.11, 66.29 degrees
Last column: magnetic moment on the atom in μB.
Fractional positions:
1 Ce 0.329 0.718 0.625  0.75
2 Ce 0.671 0.282 0.375  0.75
3 Hg 0.055 0.296 0.594  0.01
4 Ga 0.537 0.206 0.720  -0.01
5 Ce 0.127 0.692 0.054  0.72
6 Ce 0.873 0.308 0.946  0.72
7 Hg 0.945 0.704 0.406  0.01
8 Hg 0.658 0.830 0.854  -0.01
9 Ga 0.463 0.794 0.280  -0.01
10 Hg 0.342 0.170 0.146  -0.01

Results
Formation energy ... -0.34 eV/atom
Space group ... C2/m (12)


5.
Material: YCdIr2Br
Method: DFT, PBE
State: optimized geometry

Cell lengths 4.975, 5.120, 4.975 Å; angles 90.00, 90.00, 90.00 degrees
Fractional positions:
1 Ir 0.000 0.000 0.500
2 Br 0.000 0.500 0.000
3 Cd 0.000 0.000 0.000
4 Ir 0.500 0.000 0.000
5 Y 0.500 0.500 0.500

Results
Formation energy from raw total energies ... 5.08 eV/f.u.
Space group ... P4/mmm (123)


6.
Material: CaTa2Tl
Method: DFT, PBE
State: optimized geometry

Cell lengths 5.136, 5.136, 6.145 Å; angles 83.40, 83.40, 34.47 degrees
Fractional positions:
1 Ta 0.746 0.746 0.778
2 Ta 0.016 0.016 0.951
3 Tl 0.492 0.492 0.515
4 Ca 0.246 0.246 0.256

Results
Formation energy ... 0.53 eV/atom
Space group ... Cm (8)


7.
Material: La12Co6Pb
Method: DFT, PBE
State: optimized geometry

Cell lengths 8.814, 8.814, 8.814 Å; angles 109.47, 109.47, 109.47 degrees
Fractional positions:
1 La 0.312 0.502 0.190
2 La 0.312 0.122 0.810
3 Co 0.883 0.383 0.500
4 La 0.688 0.878 0.190
5 La 0.498 0.810 0.688
6 Co 0.117 0.617 0.500
7 Co 0.383 0.500 0.883
8 La 0.810 0.312 0.122
9 La 0.878 0.190 0.688
10 La 0.810 0.688 0.498
11 La 0.190 0.312 0.502
12 La 0.502 0.190 0.312
13 Co 0.617 0.500 0.117
14 Pb 0.000 0.000 0.000
15 La 0.688 0.498 0.810
16 Co 0.500 0.883 0.383
17 La 0.190 0.688 0.878
18 La 0.122 0.810 0.312
19 Co 0.500 0.117 0.617

Results
Formation energy ... -0.20 eV/atom
Space group ... Im-3 (204)


8.
Material: Dy4BiI5
Method: DFT, PBE
State: optimized geometry

Cell lengths 4.155, 9.284, 9.494 Å; angles 98.45, 102.64, 90.00 degrees
Fractional positions:
1 I 0.833 0.688 0.667
2 Dy 0.327 0.945 0.655
3 Dy 0.001 0.233 0.002
4 Bi 0.500 0.000 0.000
5 I 0.834 0.206 0.669
6 I 0.167 0.312 0.333
7 I 0.166 0.794 0.331
8 Dy 0.999 0.767 0.998
9 I 0.500 0.500 0.000
10 Dy 0.673 0.055 0.345

Results
Formation energy from raw total energies ... -10.13 eV/f.u.
Space group ... C2/m (12)


9.
Material: Pr8TeIr3I4
Method: DFT, PBE
State: optimized geometry

Cell lengths 8.750, 9.518, 8.750 Å; angles 117.38, 120.00, 90.00 degrees
Fractional positions:
1 Pr 0.299 0.309 0.054
2 I 0.500 0.000 0.000
3 I 0.000 0.000 0.500
4 Ir 0.000 0.500 0.500
5 Pr 0.755 0.309 0.510
6 Pr 0.245 0.691 0.946
7 Pr 0.728 0.684 0.456
8 Pr 0.245 0.691 0.490
9 Pr 0.272 0.316 0.544
10 Ir 0.500 0.500 0.500
11 Ir 0.500 0.500 0.000
12 I 0.500 0.000 0.500
13 Te 0.000 0.500 0.000
14 I 0.000 0.000 0.000
15 Pr 0.755 0.309 0.054
16 Pr 0.701 0.691 0.946

Results
Formation energy from raw total energies ... -15.69 eV/f.u.
Space group ... R-3m (166)


10.
Material: Na3CaSi3
Method: DFT, PBE
State: optimized geometry

Cell lengths 3.817, 10.394, 10.392 Å; angles 120.00, 90.00, 90.00 degrees
Fractional positions:
1 Si 0.250 0.054 0.576
2 Na 0.750 0.308 0.215
3 Ca 0.250 0.667 0.333
4 Na 0.750 0.785 0.093
5 Si 0.750 0.946 0.424
6 Na 0.250 0.692 0.785
7 Na 0.250 0.093 0.307
8 Na 0.250 0.215 0.907
9 Na 0.750 0.907 0.693
10 Si 0.750 0.478 0.054
11 Si 0.250 0.522 0.946
12 Si 0.750 0.576 0.522
13 Si 0.250 0.424 0.478
14 Ca 0.750 0.333 0.667

Results
Formation energy from raw total energies ... -0.92 eV/f.u.
Space group ... P6_3/m (176)


11.
Material: YSbIr2
Method: DFT, PBE
State: optimized geometry

Cell lengths 8.684, 8.684, 8.684 Å; angles 21.97, 21.97, 21.97 degrees
Fractional positions:
1 Ir 0.504 0.504 0.504
2 Y 0.750 0.750 0.750
3 Ir 0.996 0.996 0.996
4 Sb 0.250 0.250 0.250

Results
Formation energy from raw total energies ... 0.08 eV/f.u.
Space group ... R-3m (166)


12.
Material: BeInSnP2
Method: DFT, PBE
State: optimized geometry

Cell lengths 4.312, 5.461, 4.312 Å; angles 90.00, 90.00, 90.00 degrees
Fractional positions:
1 Be 0.000 0.000 0.000
2 In 0.500 0.500 0.500
3 Sn 0.000 0.500 0.000
4 P 0.500 0.000 0.000
5 P 0.000 0.000 0.500

Results
Formation energy ... 0.45 eV/atom
Space group ... P4/mmm (123)


13.
Material: AlCuAgF6
Method: DFT, PBE
State: optimized geometry

Cell lengths 5.227, 5.227, 10.266 Å; angles 90.00, 90.00, 120.00 degrees
Last column: magnetic moment on the atom in μB.
Fractional positions:
1 F 0.354 0.387 0.851  0.04
2 Ag 0.000 0.000 0.000  0.09
3 F 0.646 0.613 0.149  0.04
4 F 0.387 0.033 0.149  0.04
5 F 0.387 0.354 0.351  0.04
6 F 0.613 0.646 0.649  0.04
7 F 0.354 0.967 0.649  0.04
8 F 0.967 0.354 0.149  0.04
9 F 0.033 0.387 0.649  0.04
10 Al 0.667 0.333 0.250  0.00
11 Cu 0.667 0.333 0.750  0.68
12 Ag 0.000 0.000 0.500  0.09
13 F 0.646 0.033 0.351  0.04
14 F 0.967 0.613 0.351  0.04
15 Al 0.333 0.667 0.750  0.00
16 F 0.033 0.646 0.851  0.04
17 F 0.613 0.967 0.851  0.04
18 Cu 0.333 0.667 0.250  0.68

Results
Formation energy from raw total energies ... -20.56 eV/f.u.
Space group ... P-31c (163)


14.
Material: SiAgAs2
Method: DFT, PBE
State: optimized geometry

Cell lengths 9.559, 9.559, 9.559 Å; angles 17.92, 17.92, 17.92 degrees
Fractional positions:
1 As 0.998 0.998 0.998
2 As 0.502 0.502 0.502
3 Ag 0.750 0.750 0.750
4 Si 0.250 0.250 0.250

Results
Formation energy from raw total energies ... 1.70 eV/f.u.
Space group ... R-3m (166)


15.
Material: Li3YHg
Method: DFT, PBE
State: optimized geometry

Cell lengths 4.905, 4.905, 4.905 Å; angles 90.00, 90.00, 90.00 degrees
Fractional positions:
1 Li 0.000 0.000 0.500
2 Y 0.500 0.500 0.500
3 Li 0.500 0.000 0.000
4 Hg 0.000 0.000 0.000
5 Li 0.000 0.500 0.000

Results
Formation energy ... 0.09 eV/atom
Space group ... Pm-3m (221)


16.
Material: SmEr4Pd4
Method: DFT, PBE
State: optimized geometry

Cell lengths 5.724, 9.011, 9.011 Å; angles 90.00, 90.00, 90.00 degrees
Fractional positions:
1 Er 0.087 0.173 0.596
2 Pd 0.589 0.788 0.372
3 Er 0.087 0.827 0.404
4 Pd 0.411 0.372 0.212
5 Er 0.587 0.904 0.673
6 Er 0.413 0.673 0.096
7 Er 0.587 0.096 0.327
8 Er 0.413 0.327 0.904
9 Pd 0.089 0.872 0.712
10 Sm 0.500 0.500 0.500
11 Er 0.913 0.404 0.173
12 Er 0.913 0.596 0.827
13 Pd 0.911 0.712 0.128
14 Sm 0.000 0.000 0.000
15 Pd 0.089 0.128 0.288
16 Pd 0.589 0.212 0.628
17 Pd 0.411 0.628 0.788
18 Pd 0.911 0.288 0.872

Results
Formation energy ... -0.68 eV/atom
Space group ... P4_2/n (86)


17.
Material: ZrScSiPb2
Method: DFT, PBE
State: optimized geometry

Cell lengths 5.771, 5.389, 5.771 Å; angles 90.00, 90.00, 90.00 degrees
Last column: magnetic moment on the atom in μB.
Fractional positions:
1 Sc 0.000 0.000 0.000  -0.07
2 Pb 0.500 0.000 0.000  -0.02
3 Zr 0.500 0.500 0.500  1.03
4 Si 0.000 0.500 0.000  -0.01
5 Pb 0.000 0.000 0.500  -0.03

Results
Formation energy from raw total energies ... 4.43 eV/f.u.
Space group ... P4/mmm (123)


18.
Material: MgAlTe2
Method: DFT, PBE
State: optimized geometry

Cell lengths 6.381, 6.381, 8.265 Å; angles 67.29, 67.29, 90.00 degrees
Fractional positions:
1 Te 0.875 0.880 0.750
2 Al 0.000 0.000 0.000
3 Al 0.750 0.250 0.500
4 Mg 0.250 0.750 0.500
5 Mg 0.500 0.500 0.000
6 Te 0.120 0.625 0.250
7 Te 0.630 0.125 0.250
8 Te 0.375 0.370 0.750

Results
Formation energy from raw total energies ... -1.40 eV/f.u.
Space group ... I-42d (122)


19.
Material: LaTa2Cl
Method: DFT, PBE
State: optimized geometry

Cell lengths 3.948, 3.948, 12.256 Å; angles 80.73, 80.73, 90.00 degrees
Fractional positions:
1 Ta 0.121 0.125 0.250
2 Ta 0.375 0.879 0.750
3 La 0.000 0.000 0.000
4 Cl 0.500 0.500 0.000
5 La 0.750 0.250 0.500
6 Cl 0.250 0.750 0.500
7 Ta 0.629 0.625 0.250
8 Ta 0.875 0.371 0.750

Results
Formation energy from raw total energies ... 0.87 eV/f.u.
Space group ... I-42d (122)


20.
Material: KTlCuC2
Method: DFT, PBE
State: optimized geometry

Cell lengths 4.150, 5.270, 4.150 Å; angles 90.00, 90.00, 90.00 degrees
Last column: magnetic moment on the atom in μB.
Fractional positions:
1 Cu 0.000 0.000 0.000  0.10
2 K 0.000 0.500 0.000  0.01
3 Tl 0.500 0.500 0.500  0.01
4 C 0.500 0.000 0.000  0.23
5 C 0.000 0.000 0.500  0.16

Results
Formation energy ... 1.98 eV/atom
Space group ... P4/mmm (123)